# AlCoRu2, relaxed, DFT PBE-GGA
data_AlCoRu2
_chemical_formula_sum 'Al1 Co1 Ru2'
_cell_length_a 4.636
_cell_length_b 4.636
_cell_length_c 4.398
_cell_angle_alpha 77.94
_cell_angle_beta 77.94
_cell_angle_gamma 34.85
_space_group_name_H-M_alt 'P 1'
_space_group_IT_number 1
loop_
_space_group_symop_operation_xyz
'x,y,z'
loop_
_atom_site_label
_atom_site_fract_x
_atom_site_fract_y
_atom_site_fract_z
Ru1 0.998 0.998 0.987
Co1 0.250 0.250 0.269
Al1 0.504 0.504 0.478
Ru2 0.748 0.748 0.766
# - ΔH_f (0 K): -0.155 eV per atom
# - Calculated total energy: -7.50 eV/atom
# - Space group: Cm, No. 8
# - DOS at the Fermi energy: 4.6 states/eV/cell


# AlCoRu2, relaxed, DFT PBE-GGA
data_AlCoRu2
_chemical_formula_sum 'Al1 Co1 Ru2'
_cell_length_a 4.963
_cell_length_b 4.963
_cell_length_c 4.963
_cell_angle_alpha 145.99
_cell_angle_beta 127.36
_cell_angle_gamma 64.17
_space_group_name_H-M_alt 'P 1'
_space_group_IT_number 1
loop_
_space_group_symop_operation_xyz
'x,y,z'
loop_
_atom_site_label
_atom_site_fract_x
_atom_site_fract_y
_atom_site_fract_z
Co1 0.250 0.750 0.500
Ru1 0.995 0.995 0.000
Al1 0.750 0.250 0.500
Ru2 0.505 0.505 0.000
# - ΔH_f (0 K): -0.061 eV per atom
# - Calculated total energy: -7.41 eV/atom
# - Space group: Immm, No. 71
# - DOS at the Fermi energy: 4.0 states/eV/cell


# AlCo2Ru2, relaxed, DFT PBE-GGA
data_AlCo2Ru2
_chemical_formula_sum 'Al2 Co4 Ru4'
_cell_length_a 7.002
_cell_length_b 7.002
_cell_length_c 2.757
_cell_angle_alpha 90.00
_cell_angle_beta 90.00
_cell_angle_gamma 90.00
_space_group_name_H-M_alt 'P 1'
_space_group_IT_number 1
loop_
_space_group_symop_operation_xyz
'x,y,z'
loop_
_atom_site_label
_atom_site_fract_x
_atom_site_fract_y
_atom_site_fract_z
Co1 0.667 0.833 0.500
Ru1 0.130 0.370 0.000
Al1 0.500 0.500 0.000
Co2 0.833 0.333 0.500
Al2 0.000 0.000 0.000
Co3 0.167 0.667 0.500
Ru2 0.870 0.630 0.000
Ru3 0.630 0.130 0.000
Co4 0.333 0.167 0.500
Ru4 0.370 0.870 0.000
# - ΔH_f (0 K): 0.223 eV per atom
# - Relative energy among the computed polymorphs: 0.50 eV per formula unit
# - Calculated total energy: -7.08 eV/atom
# - Space group: P4/mbm, No. 127
# - DOS at the Fermi energy: 12.5 states/eV/cell


# Al2CoRu, relaxed, DFT PBE-GGA
data_Al2CoRu
_chemical_formula_sum 'Al2 Co1 Ru1'
_cell_length_a 5.011
_cell_length_b 5.011
_cell_length_c 5.011
_cell_angle_alpha 145.00
_cell_angle_beta 132.74
_cell_angle_gamma 60.15
_space_group_name_H-M_alt 'P 1'
_space_group_IT_number 1
loop_
_space_group_symop_operation_xyz
'x,y,z'
loop_
_atom_site_label
_atom_site_fract_x
_atom_site_fract_y
_atom_site_fract_z
Ru1 0.258 0.758 0.500
Co1 0.501 0.501 0.000
Al1 0.734 0.234 0.500
Al2 0.007 0.007 0.000
# - ΔH_f (0 K): -0.461 eV per atom
# - Relative energy among the computed polymorphs: 0.76 eV per formula unit
# - Calculated total energy: -6.43 eV/atom
# - Space group: Imm2, No. 44
# - DOS at the Fermi energy: 2.3 states/eV/cell


# AlCoRu2, relaxed, DFT PBE-GGA
data_AlCoRu2
_chemical_formula_sum 'Al2 Co2 Ru4'
_cell_length_a 6.724
_cell_length_b 6.724
_cell_length_c 5.396
_cell_angle_alpha 51.46
_cell_angle_beta 51.46
_cell_angle_gamma 90.00
_space_group_name_H-M_alt 'P 1'
_space_group_IT_number 1
loop_
_space_group_symop_operation_xyz
'x,y,z'
loop_
_atom_site_label
_atom_site_fract_x
_atom_site_fract_y
_atom_site_fract_z
Al1 0.250 0.750 0.500
Ru1 0.875 0.893 0.750
Al2 0.500 0.500 0.000
Co1 0.750 0.250 0.500
Ru2 0.107 0.625 0.250
Ru3 0.643 0.125 0.250
Ru4 0.375 0.357 0.750
Co2 0.000 0.000 0.000
# - ΔH_f (0 K): 0.416 eV per atom
# - Calculated total energy: -6.93 eV/atom
# - Space group: I-42d, No. 122
# - DOS at the Fermi energy: 10.2 states/eV/cell


# AlCo2Ru, relaxed, DFT PBE-GGA
data_AlCo2Ru
_chemical_formula_sum 'Al1 Co2 Ru1'
_cell_length_a 2.601
_cell_length_b 2.601
_cell_length_c 8.160
_cell_angle_alpha 90.00
_cell_angle_beta 90.00
_cell_angle_gamma 113.98
_space_group_name_H-M_alt 'P 1'
_space_group_IT_number 1
loop_
_space_group_symop_operation_xyz
'x,y,z'
loop_
_atom_site_label
_atom_site_fract_x
_atom_site_fract_y
_atom_site_fract_z
Co1 0.000 0.000 0.992
Ru1 0.500 0.500 0.250
Al1 0.500 0.500 0.750
Co2 0.000 0.000 0.508
# - ΔH_f (0 K): 0.107 eV per atom
# - Calculated total energy: -6.70 eV/atom
# - Space group: Cmmm, No. 65
# - DOS at the Fermi energy: 5.9 states/eV/cell


# AlCoRu2, relaxed, DFT PBE-GGA
data_AlCoRu2
_chemical_formula_sum 'Al1 Co1 Ru2'
_cell_length_a 3.670
_cell_length_b 2.731
_cell_length_c 5.913
_cell_angle_alpha 62.57
_cell_angle_beta 90.00
_cell_angle_gamma 90.00
_space_group_name_H-M_alt 'P 1'
_space_group_IT_number 1
loop_
_space_group_symop_operation_xyz
'x,y,z'
loop_
_atom_site_label
_atom_site_fract_x
_atom_site_fract_y
_atom_site_fract_z
Al1 0.000 0.487 0.513
Ru1 0.000 0.000 0.000
Co1 0.500 0.756 0.743
Ru2 0.500 0.257 0.243
# - ΔH_f (0 K): -0.140 eV per atom
# - Calculated total energy: -7.49 eV/atom
# - Space group: Pm, No. 6
# - DOS at the Fermi energy: 4.5 states/eV/cell


# AlCo4Ru, relaxed, DFT PBE-GGA
data_AlCo4Ru
_chemical_formula_sum 'Al1 Co4 Ru1'
_cell_length_a 4.691
_cell_length_b 4.691
_cell_length_c 4.691
_cell_angle_alpha 60.00
_cell_angle_beta 60.00
_cell_angle_gamma 60.00
_space_group_name_H-M_alt 'P 1'
_space_group_IT_number 1
loop_
_space_group_symop_operation_xyz
'x,y,z'
loop_
_atom_site_label
_atom_site_fract_x
_atom_site_fract_y
_atom_site_fract_z
Al1 0.000 0.000 0.000
Co1 0.374 0.374 0.877
Co2 0.374 0.877 0.374
Co3 0.877 0.374 0.374
Co4 0.374 0.374 0.374
Ru1 0.750 0.750 0.750
# - ΔH_f (0 K): -0.023 eV per atom
# - Calculated total energy: -6.93 eV/atom
# - Space group: F-43m, No. 216
# - DOS at the Fermi energy: 6.2 states/eV/cell


# AlCoRu3, relaxed, DFT PBE-GGA
data_AlCoRu3
_chemical_formula_sum 'Al1 Co1 Ru3'
_cell_length_a 4.342
_cell_length_b 4.342
_cell_length_c 4.342
_cell_angle_alpha 90.00
_cell_angle_beta 90.00
_cell_angle_gamma 90.00
_space_group_name_H-M_alt 'P 1'
_space_group_IT_number 1
loop_
_space_group_symop_operation_xyz
'x,y,z'
loop_
_atom_site_label
_atom_site_fract_x
_atom_site_fract_y
_atom_site_fract_z
Ru1 0.500 0.000 0.000
Co1 0.500 0.500 0.500
Al1 0.000 0.000 0.000
Ru2 0.000 0.500 0.000
Ru3 0.000 0.000 0.500
# - ΔH_f (0 K): 1.482 eV per atom
# - Relative energy among the computed polymorphs: 1.40 eV per formula unit
# - Calculated total energy: -6.25 eV/atom
# - Space group: Pm-3m, No. 221
# - DOS at the Fermi energy: 5.8 states/eV/cell


# AlCoRu2, relaxed, DFT PBE-GGA
data_AlCoRu2
_chemical_formula_sum 'Al1 Co1 Ru2'
_cell_length_a 4.234
_cell_length_b 4.234
_cell_length_c 4.234
_cell_angle_alpha 60.00
_cell_angle_beta 60.00
_cell_angle_gamma 60.00
_space_group_name_H-M_alt 'P 1'
_space_group_IT_number 1
loop_
_space_group_symop_operation_xyz
'x,y,z'
loop_
_atom_site_label
_atom_site_fract_x
_atom_site_fract_y
_atom_site_fract_z
Al1 0.500 0.500 0.500
Ru1 0.250 0.250 0.250
Co1 0.750 0.750 0.750
Ru2 0.000 0.000 0.000
# - ΔH_f (0 K): -0.068 eV per atom
# - Calculated total energy: -7.42 eV/atom
# - Space group: F-43m, No. 216
# - DOS at the Fermi energy: 3.9 states/eV/cell


# AlCo2Ru, relaxed, DFT PBE-GGA
data_AlCo2Ru
_chemical_formula_sum 'Al1 Co2 Ru1'
_cell_length_a 3.750
_cell_length_b 3.637
_cell_length_c 3.637
_cell_angle_alpha 90.00
_cell_angle_beta 90.00
_cell_angle_gamma 90.00
_space_group_name_H-M_alt 'P 1'
_space_group_IT_number 1
loop_
_space_group_symop_operation_xyz
'x,y,z'
loop_
_atom_site_label
_atom_site_fract_x
_atom_site_fract_y
_atom_site_fract_z
Co1 0.000 0.000 0.000
Ru1 0.500 0.500 0.000
Co2 0.000 0.500 0.500
Al1 0.500 0.000 0.500
# - ΔH_f (0 K): -0.117 eV per atom
# - Calculated total energy: -6.92 eV/atom
# - Space group: P4/mmm, No. 123
# - DOS at the Fermi energy: 7.5 states/eV/cell


# AlCoRu, relaxed, DFT PBE-GGA
data_AlCoRu
_chemical_formula_sum 'Al1 Co1 Ru1'
_cell_length_a 6.423
_cell_length_b 6.214
_cell_length_c 2.658
_cell_angle_alpha 82.32
_cell_angle_beta 73.47
_cell_angle_gamma 24.21
_space_group_name_H-M_alt 'P 1'
_space_group_IT_number 1
loop_
_space_group_symop_operation_xyz
'x,y,z'
loop_
_atom_site_label
_atom_site_fract_x
_atom_site_fract_y
_atom_site_fract_z
Al1 0.004 0.004 0.996
Ru1 0.334 0.334 0.666
Co1 0.663 0.663 0.337
# - ΔH_f (0 K): -0.002 eV per atom
# - Relative energy among the computed polymorphs: 0.87 eV per formula unit
# - Calculated total energy: -6.71 eV/atom
# - Space group: Fmm2, No. 42
# - DOS at the Fermi energy: 4.3 states/eV/cell


# Al2CoRu, relaxed, DFT PBE-GGA
data_Al2CoRu
_chemical_formula_sum 'Al2 Co1 Ru1'
_cell_length_a 8.052
_cell_length_b 8.052
_cell_length_c 8.052
_cell_angle_alpha 20.01
_cell_angle_beta 20.01
_cell_angle_gamma 20.01
_space_group_name_H-M_alt 'P 1'
_space_group_IT_number 1
loop_
_space_group_symop_operation_xyz
'x,y,z'
loop_
_atom_site_label
_atom_site_fract_x
_atom_site_fract_y
_atom_site_fract_z
Al1 0.503 0.503 0.503
Co1 0.250 0.250 0.250
Ru1 0.750 0.750 0.750
Al2 0.997 0.997 0.997
# - ΔH_f (0 K): -0.295 eV per atom
# - Relative energy among the computed polymorphs: 1.43 eV per formula unit
# - Calculated total energy: -6.26 eV/atom
# - Space group: R-3m, No. 166
# - DOS at the Fermi energy: 3.3 states/eV/cell


# AlCoRu2, relaxed, DFT PBE-GGA
data_AlCoRu2
_chemical_formula_sum 'Al1 Co1 Ru2'
_cell_length_a 8.438
_cell_length_b 8.438
_cell_length_c 8.438
_cell_angle_alpha 18.65
_cell_angle_beta 18.65
_cell_angle_gamma 18.65
_space_group_name_H-M_alt 'P 1'
_space_group_IT_number 1
loop_
_space_group_symop_operation_xyz
'x,y,z'
loop_
_atom_site_label
_atom_site_fract_x
_atom_site_fract_y
_atom_site_fract_z
Co1 0.750 0.750 0.750
Al1 0.250 0.250 0.250
Ru1 0.499 0.499 0.499
Ru2 0.001 0.001 0.001
# - ΔH_f (0 K): -0.044 eV per atom
# - Calculated total energy: -7.39 eV/atom
# - Space group: R-3m, No. 166
# - DOS at the Fermi energy: 4.3 states/eV/cell


# AlCoRu2, relaxed, DFT PBE-GGA
data_AlCoRu2
_chemical_formula_sum 'Al1 Co1 Ru2'
_cell_length_a 2.675
_cell_length_b 2.675
_cell_length_c 8.416
_cell_angle_alpha 90.00
_cell_angle_beta 90.00
_cell_angle_gamma 116.20
_space_group_name_H-M_alt 'P 1'
_space_group_IT_number 1
loop_
_space_group_symop_operation_xyz
'x,y,z'
loop_
_atom_site_label
_atom_site_fract_x
_atom_site_fract_y
_atom_site_fract_z
Al1 0.000 0.000 0.508
Ru1 0.500 0.500 0.259
Ru2 0.000 0.000 0.991
Co1 0.500 0.500 0.742
# - ΔH_f (0 K): 0.136 eV per atom
# - Calculated total energy: -7.21 eV/atom
# - Space group: Cmm2, No. 35
# - DOS at the Fermi energy: 4.9 states/eV/cell


# Al2CoRu, relaxed, DFT PBE-GGA
data_Al2CoRu
_chemical_formula_sum 'Al2 Co1 Ru1'
_cell_length_a 4.120
_cell_length_b 2.989
_cell_length_c 4.120
_cell_angle_alpha 89.99
_cell_angle_beta 90.00
_cell_angle_gamma 90.00
_space_group_name_H-M_alt 'P 1'
_space_group_IT_number 1
loop_
_space_group_symop_operation_xyz
'x,y,z'
loop_
_atom_site_label
_atom_site_fract_x
_atom_site_fract_y
_atom_site_fract_z
Al1 0.500 0.125 0.375
Al2 0.000 0.125 0.875
Co1 0.000 0.625 0.375
Ru1 0.500 0.625 0.875
# - ΔH_f (0 K): -0.648 eV per atom
# - Relative energy among the computed polymorphs: 0.02 eV per formula unit
# - Calculated total energy: -6.61 eV/atom
# - Space group: P4/mmm, No. 123
# - DOS at the Fermi energy: 2.8 states/eV/cell


# Al2CoRu, relaxed, DFT PBE-GGA
data_Al2CoRu
_chemical_formula_sum 'Al2 Co1 Ru1'
_cell_length_a 4.151
_cell_length_b 4.151
_cell_length_c 4.151
_cell_angle_alpha 60.00
_cell_angle_beta 60.00
_cell_angle_gamma 60.00
_space_group_name_H-M_alt 'P 1'
_space_group_IT_number 1
loop_
_space_group_symop_operation_xyz
'x,y,z'
loop_
_atom_site_label
_atom_site_fract_x
_atom_site_fract_y
_atom_site_fract_z
Ru1 0.500 0.500 0.500
Co1 0.000 0.000 0.000
Al1 0.750 0.750 0.750
Al2 0.250 0.250 0.250
# - ΔH_f (0 K): -0.652 eV per atom
# - Relative energy among the computed polymorphs: 0.00 eV per formula unit
# - Calculated total energy: -6.62 eV/atom
# - Space group: Fm-3m, No. 225
# - DOS at the Fermi energy: 2.3 states/eV/cell


# AlCo2Ru, relaxed, DFT PBE-GGA
data_AlCo2Ru
_chemical_formula_sum 'Al1 Co2 Ru1'
_cell_length_a 4.366
_cell_length_b 4.366
_cell_length_c 2.651
_cell_angle_alpha 90.00
_cell_angle_beta 90.00
_cell_angle_gamma 106.54
_space_group_name_H-M_alt 'P 1'
_space_group_IT_number 1
loop_
_space_group_symop_operation_xyz
'x,y,z'
loop_
_atom_site_label
_atom_site_fract_x
_atom_site_fract_y
_atom_site_fract_z
Ru1 0.500 0.000 0.500
Al1 0.000 0.500 0.500
Co1 0.000 0.000 0.000
Co2 0.500 0.500 0.000
# - ΔH_f (0 K): -0.134 eV per atom
# - Calculated total energy: -6.94 eV/atom
# - Space group: Cmmm, No. 65
# - DOS at the Fermi energy: 5.5 states/eV/cell


# AlCoRu2, relaxed, DFT PBE-GGA
data_AlCoRu2
_chemical_formula_sum 'Al1 Co1 Ru2'
_cell_length_a 2.817
_cell_length_b 2.817
_cell_length_c 6.552
_cell_angle_alpha 90.00
_cell_angle_beta 90.00
_cell_angle_gamma 90.00
_space_group_name_H-M_alt 'P 1'
_space_group_IT_number 1
loop_
_space_group_symop_operation_xyz
'x,y,z'
loop_
_atom_site_label
_atom_site_fract_x
_atom_site_fract_y
_atom_site_fract_z
Co1 0.500 0.500 0.735
Ru1 0.000 0.000 0.991
Al1 0.000 0.000 0.516
Ru2 0.500 0.500 0.257
# - ΔH_f (0 K): -0.193 eV per atom
# - Calculated total energy: -7.54 eV/atom
# - Space group: P4mm, No. 99
# - DOS at the Fermi energy: 3.5 states/eV/cell


# AlCo2Ru, relaxed, DFT PBE-GGA
data_AlCo2Ru
_chemical_formula_sum 'Al1 Co2 Ru1'
_cell_length_a 2.679
_cell_length_b 2.679
_cell_length_c 6.696
_cell_angle_alpha 90.00
_cell_angle_beta 90.00
_cell_angle_gamma 90.00
_space_group_name_H-M_alt 'P 1'
_space_group_IT_number 1
loop_
_space_group_symop_operation_xyz
'x,y,z'
loop_
_atom_site_label
_atom_site_fract_x
_atom_site_fract_y
_atom_site_fract_z
Ru1 0.500 0.500 0.250
Co1 0.000 0.000 0.993
Co2 0.000 0.000 0.507
Al1 0.500 0.500 0.750
# - ΔH_f (0 K): -0.160 eV per atom
# - Calculated total energy: -6.97 eV/atom
# - Space group: P4/mmm, No. 123
# - DOS at the Fermi energy: 4.7 states/eV/cell